w.
Crystalline CaZrRe2 at its relaxed geometry, computed with GGA-PBE.

Cell lengths 5.584, 5.584, 2.764 Å; angles 99.70, 99.70, 116.01 degrees
Atoms (fractional coordinates):
Ca 0.000 0.000 0.000
Zr 0.500 0.500 0.000
Re 0.000 0.500 0.500
Re 0.500 0.000 0.500

Computed properties:
Space group: C2/m
DOS(E_F) in states/eV per atom: 0.77

x.
Crystalline CaZrRe2 at its relaxed geometry, computed with GGA-PBE.

Cell lengths 3.041, 4.023, 7.217 Å; angles 90.00, 96.41, 90.00 degrees
Atoms (fractional coordinates):
Ca 0.000 0.000 0.000
Zr 0.381 0.500 0.638
Re 0.521 0.500 0.286
Re 0.900 0.000 0.426

Computed properties:
Space group: Pm
DOS(E_F) in states/eV per atom: 0.71

Stability ranking, top entry: x; the second entry is 0.148 eV/atom less favorable.

w.
Crystalline CaZr2Re at its relaxed geometry, computed with GGA-PBE.

Cell lengths 3.435, 3.435, 7.953 Å; angles 90.00, 90.00, 90.00 degrees
Atoms (fractional coordinates):
Ca 0.000 0.000 0.000
Zr 0.000 0.000 0.420
Zr 0.500 0.500 0.649
Re 0.500 0.500 0.257

Computed properties:
Space group: P4mm
DOS(E_F) in states/eV per atom: 1.19

x.
Crystalline CaZr2Re at its relaxed geometry, computed with GGA-PBE.

Cell lengths 3.155, 4.419, 6.669 Å; angles 90.00, 101.58, 90.00 degrees
Atoms (fractional coordinates):
Ca 0.000 0.000 0.000
Zr 0.282 0.500 0.697
Zr 0.718 0.500 0.303
Re 0.500 0.000 0.500

Computed properties:
Space group: P2/m
DOS(E_F) in states/eV per atom: 1.07

Stability ranking, top entry: x; the second entry is 0.006 eV/atom less favorable.

w.
Crystalline CaZr3Re at its relaxed geometry, computed with GGA-PBE.

Cell lengths 5.178, 5.178, 5.178 Å; angles 90.00, 90.00, 90.00 degrees
Atoms (fractional coordinates):
Ca 0.000 0.000 0.000
Zr 0.000 0.500 0.500
Zr 0.500 0.000 0.500
Zr 0.500 0.500 0.000
Re 0.500 0.500 0.500

Computed properties:
Space group: Pm-3m
DOS(E_F) in states/eV per atom: 2.34

x.
Crystalline CaZr3Re at its relaxed geometry, computed with GGA-PBE.

Cell lengths 4.840, 4.840, 4.840 Å; angles 90.00, 90.00, 90.00 degrees
Atoms (fractional coordinates):
Ca 0.000 0.000 0.000
Zr 0.000 0.000 0.500
Zr 0.000 0.500 0.000
Zr 0.500 0.000 0.000
Re 0.500 0.500 0.500

Computed properties:
Space group: Pm-3m
DOS(E_F) in states/eV per atom: 1.24

Stability ranking, top entry: w; the second entry is 1.741 eV/atom less favorable.

w.
Crystalline Ca5Rh at its relaxed geometry, computed with GGA-PBE.

Cell lengths 8.281, 8.281, 5.676 Å; angles 90.00, 90.00, 149.65 degrees
Atoms (fractional coordinates):
Ca 0.000 0.000 0.000
Ca 0.125 0.875 0.500
Ca 0.336 0.664 0.000
Ca 0.664 0.336 0.000
Ca 0.875 0.125 0.500
Rh 0.500 0.500 0.500

Computed properties:
Space group: Cmmm
DOS(E_F) in states/eV per atom: 0.98

x.
Crystalline Ca5Rh at its relaxed geometry, computed with GGA-PBE.

Cell lengths 3.629, 3.629, 15.204 Å; angles 90.00, 90.00, 90.00 degrees
Atoms (fractional coordinates):
Ca 0.000 0.000 0.000
Ca 0.000 0.000 0.394
Ca 0.000 0.000 0.606
Ca 0.500 0.500 0.192
Ca 0.500 0.500 0.808
Rh 0.500 0.500 0.500

Computed properties:
Space group: P4/mmm
DOS(E_F) in states/eV per atom: 0.74

y.
Crystalline Ca5Rh at its relaxed geometry, computed with GGA-PBE.

Cell lengths 6.565, 6.565, 5.137 Å; angles 90.00, 90.00, 120.00 degrees
Atoms (fractional coordinates):
Ca 0.000 0.714 0.000
Ca 0.286 0.286 0.000
Ca 0.333 0.667 0.500
Ca 0.667 0.333 0.500
Ca 0.714 0.000 0.000
Rh 0.000 0.000 0.500

Computed properties:
Space group: P-62m
DOS(E_F) in states/eV per atom: 0.92

z.
Crystalline Ca5Rh at its relaxed geometry, computed with GGA-PBE.

Cell lengths 6.715, 6.715, 9.287 Å; angles 112.34, 112.34, 32.12 degrees
Atoms (fractional coordinates):
Ca 0.000 0.000 0.000
Ca 0.334 0.334 0.227
Ca 0.381 0.381 0.618
Ca 0.619 0.619 0.382
Ca 0.666 0.666 0.773
Rh 0.000 0.000 0.500

Computed properties:
Space group: C2/m
DOS(E_F) in states/eV per atom: 0.92

Stability ranking, top entry: z; the second entry is 0.009 eV/atom less favorable.

w.
Crystalline Ca5Rh at its relaxed geometry, computed with GGA-PBE.

Cell lengths 7.617, 15.929, 6.731 Å; angles 90.00, 90.00, 90.00 degrees
Atoms (fractional coordinates):
Ca 0.036 0.144 0.175
Ca 0.036 0.356 0.175
Ca 0.094 0.750 0.349
Ca 0.191 0.064 0.647
Ca 0.191 0.436 0.647
Ca 0.309 0.564 0.147
Ca 0.309 0.936 0.147
Ca 0.406 0.250 0.849
Ca 0.464 0.644 0.675
Ca 0.464 0.856 0.675
Ca 0.536 0.144 0.325
Ca 0.536 0.356 0.325
Ca 0.594 0.750 0.151
Ca 0.691 0.064 0.853
Ca 0.691 0.436 0.853
Ca 0.809 0.564 0.353
Ca 0.809 0.936 0.353
Ca 0.906 0.250 0.651
Ca 0.964 0.644 0.825
Ca 0.964 0.856 0.825
Rh 0.241 0.250 0.463
Rh 0.259 0.750 0.963
Rh 0.741 0.250 0.037
Rh 0.759 0.750 0.537

Computed properties:
Space group: Pnma
DOS(E_F) in states/eV per atom: 0.69

x.
Crystalline Ca5Rh at its relaxed geometry, computed with GGA-PBE.

Cell lengths 6.350, 6.350, 6.344 Å; angles 90.00, 90.00, 120.00 degrees
Atoms (fractional coordinates):
Ca 0.000 0.500 0.000
Ca 0.333 0.667 0.500
Ca 0.500 0.000 0.000
Ca 0.500 0.500 0.000
Ca 0.667 0.333 0.500
Rh 0.000 0.000 0.500

Computed properties:
Space group: P6/mmm
DOS(E_F) in states/eV per atom: 1.39

Stability ranking, top entry: w; the second entry is 0.934 eV/atom less favorable.

w.
Crystalline Ca4Rh at its relaxed geometry, computed with GGA-PBE.

Cell lengths 8.090, 8.090, 8.090 Å; angles 60.00, 60.00, 60.00 degrees
Atoms (fractional coordinates):
Ca 0.231 0.756 0.756
Ca 0.244 0.244 0.244
Ca 0.244 0.244 0.769
Ca 0.244 0.769 0.244
Ca 0.756 0.231 0.756
Ca 0.756 0.756 0.231
Ca 0.756 0.756 0.756
Ca 0.769 0.244 0.244
Rh 0.375 0.375 0.375
Rh 0.625 0.625 0.625

Computed properties:
Space group: Fd-3m
DOS(E_F) in states/eV per atom: 0.66

x.
Crystalline Ca4Rh at its relaxed geometry, computed with GGA-PBE.

Cell lengths 7.883, 7.883, 6.520 Å; angles 90.00, 90.00, 119.36 degrees
Atoms (fractional coordinates):
Ca 0.164 0.836 0.758
Ca 0.168 0.332 0.750
Ca 0.332 0.168 0.250
Ca 0.336 0.664 0.258
Ca 0.664 0.336 0.742
Ca 0.668 0.832 0.750
Ca 0.832 0.668 0.250
Ca 0.836 0.164 0.242
Rh 0.000 0.000 0.000
Rh 0.500 0.500 0.500

Computed properties:
Space group: Cmce
DOS(E_F) in states/eV per atom: 0.69

Stability ranking, top entry: x; the second entry is 0.292 eV/atom less favorable.

w.
Crystalline Ca4Rh at its relaxed geometry, computed with GGA-PBE.

Cell lengths 5.598, 5.598, 5.598 Å; angles 90.00, 90.00, 90.00 degrees
Atoms (fractional coordinates):
Ca 0.000 0.000 0.000
Ca 0.000 0.500 0.500
Ca 0.500 0.000 0.500
Ca 0.500 0.500 0.000
Rh 0.500 0.500 0.500

Computed properties:
Space group: Pm-3m
DOS(E_F) in states/eV per atom: 0.88

x.
Crystalline Ca4Rh at its relaxed geometry, computed with GGA-PBE.

Cell lengths 6.038, 6.038, 6.038 Å; angles 109.47, 109.47, 109.47 degrees
Atoms (fractional coordinates):
Ca 0.000 0.000 0.500
Ca 0.000 0.500 0.000
Ca 0.500 0.000 0.000
Ca 0.500 0.500 0.500
Rh 0.000 0.000 0.000

Computed properties:
Space group: Im-3m
DOS(E_F) in states/eV per atom: 0.96

Stability ranking, top entry: w; the second entry is 0.155 eV/atom less favorable.

w.
Crystalline CaRuRh2 at its relaxed geometry, computed with GGA-PBE.

Cell lengths 5.379, 5.379, 4.914 Å; angles 115.23, 115.23, 30.21 degrees
Atoms (fractional coordinates):
Ca 0.000 0.000 0.000
Ru 0.234 0.234 0.581
Rh 0.498 0.498 0.512
Rh 0.760 0.760 0.103

Computed properties:
Space group: Cm
DOS(E_F) in states/eV per atom: 1.09

x.
Crystalline CaRuRh2 at its relaxed geometry, computed with GGA-PBE.

Cell lengths 4.761, 4.761, 2.875 Å; angles 90.00, 90.00, 90.00 degrees
Atoms (fractional coordinates):
Ca 0.000 0.000 0.000
Ru 0.500 0.500 0.000
Rh 0.000 0.500 0.500
Rh 0.500 0.000 0.500

Computed properties:
Space group: P4/mmm
DOS(E_F) in states/eV per atom: 1.06

y.
Crystalline CaRuRh2 at its relaxed geometry, computed with GGA-PBE.

Cell lengths 9.222, 9.222, 9.222 Å; angles 17.98, 17.98, 17.98 degrees
Atoms (fractional coordinates):
Ca 0.000 0.000 0.000
Ru 0.500 0.500 0.500
Rh 0.244 0.244 0.244
Rh 0.756 0.756 0.756

Computed properties:
Space group: R-3m
DOS(E_F) in states/eV per atom: 1.17

Stability ranking, top entry: w; the second entry is 0.062 eV/atom less favorable.

w.
Crystalline CaRuRh2 at its relaxed geometry, computed with GGA-PBE.

Cell lengths 2.843, 4.471, 5.301 Å; angles 90.00, 101.96, 90.00 degrees
Atoms (fractional coordinates):
Ca 0.000 0.000 0.000
Ru 0.260 0.500 0.637
Rh 0.576 0.500 0.196
Rh 0.677 0.000 0.494

Computed properties:
Space group: Pm
DOS(E_F) in states/eV per atom: 1.02

x.
Crystalline CaRuRh2 at its relaxed geometry, computed with GGA-PBE.

Cell lengths 2.871, 2.871, 8.089 Å; angles 90.00, 90.00, 90.00 degrees
Atoms (fractional coordinates):
Ca 0.000 0.000 0.000
Ru 0.500 0.500 0.708
Rh 0.000 0.000 0.502
Rh 0.500 0.500 0.277

Computed properties:
Space group: P4mm
DOS(E_F) in states/eV per atom: 1.24

y.
Crystalline CaRuRh2 at its relaxed geometry, computed with GGA-PBE.

Cell lengths 2.884, 2.884, 7.972 Å; angles 90.00, 90.00, 90.00 degrees
Atoms (fractional coordinates):
Ca 0.000 0.000 0.000
Ru 0.000 0.000 0.500
Rh 0.500 0.500 0.285
Rh 0.500 0.500 0.715

Computed properties:
Space group: P4/mmm
DOS(E_F) in states/eV per atom: 1.09

z.
Crystalline CaRuRh2 at its relaxed geometry, computed with GGA-PBE.

Cell lengths 4.528, 4.528, 4.528 Å; angles 60.00, 60.00, 60.00 degrees
Atoms (fractional coordinates):
Ca 0.000 0.000 0.000
Ru 0.250 0.250 0.250
Rh 0.500 0.500 0.500
Rh 0.750 0.750 0.750

Computed properties:
Space group: F-43m
DOS(E_F) in states/eV per atom: 1.46

Stability ranking, top entry: y; the second entry is 0.047 eV/atom less favorable.

w.
Crystalline CaRu3Rh at its relaxed geometry, computed with GGA-PBE.

Cell lengths 4.732, 4.732, 4.732 Å; angles 90.00, 90.00, 90.00 degrees
Atoms (fractional coordinates):
Ca 0.000 0.000 0.000
Ru 0.000 0.500 0.500
Ru 0.500 0.000 0.500
Ru 0.500 0.500 0.000
Rh 0.500 0.500 0.500

Computed properties:
Space group: Pm-3m
DOS(E_F) in states/eV per atom: 1.44

x.
Crystalline CaRu3Rh at its relaxed geometry, computed with GGA-PBE.

Cell lengths 4.539, 4.539, 4.539 Å; angles 90.00, 90.00, 90.00 degrees
Atoms (fractional coordinates):
Ca 0.000 0.000 0.000
Ru 0.000 0.000 0.500
Ru 0.000 0.500 0.000
Ru 0.500 0.000 0.000
Rh 0.500 0.500 0.500

Computed properties:
Space group: Pm-3m
DOS(E_F) in states/eV per atom: 2.06

Stability ranking, top entry: w; the second entry is 1.228 eV/atom less favorable.

w.
Crystalline CaRu2Rh2 at its relaxed geometry, computed with GGA-PBE.

Cell lengths 7.680, 7.680, 2.776 Å; angles 90.00, 90.00, 90.00 degrees
Atoms (fractional coordinates):
Ca 0.000 0.000 0.000
Ca 0.500 0.500 0.000
Ru 0.116 0.384 0.000
Ru 0.384 0.884 0.000
Ru 0.616 0.116 0.000
Ru 0.884 0.616 0.000
Rh 0.179 0.679 0.500
Rh 0.321 0.179 0.500
Rh 0.679 0.821 0.500
Rh 0.821 0.321 0.500

Computed properties:
Space group: P4/mbm
DOS(E_F) in states/eV per atom: 1.22

x.
Crystalline CaRu2Rh2 at its relaxed geometry, computed with GGA-PBE.

Cell lengths 6.112, 6.112, 6.112 Å; angles 140.88, 140.88, 56.51 degrees
Atoms (fractional coordinates):
Ca 0.000 0.000 0.000
Ru 0.395 0.395 0.000
Ru 0.605 0.605 0.000
Rh 0.250 0.750 0.500
Rh 0.750 0.250 0.500

Computed properties:
Space group: I4/mmm
DOS(E_F) in states/eV per atom: 1.14

Stability ranking, top entry: w; the second entry is 0.065 eV/atom less favorable.